DFT (GGA-PBE) results for crystalline HfTeW3 at its relaxed geometry.

Structure (POSCAR):
```
HfTeW3
1.0
-2.459 -2.671 -3.210
3.881 -0.089 -2.900
1.539 -4.042 2.184
W Te Hf
3 1 1
Direct
0.000 0.500 0.000
0.000 0.000 0.500
0.500 0.000 0.000
0.000 0.000 0.000
0.500 0.500 0.500
```

Output
Energy above the lowest structure with this stoichiometry   0 meV/atom
M_tot   0.00 μB per formula unit
Formation energy from raw total energies   1009.4 kJ/mol of formula units
Mass density   12.5 g/cm3